1.
# HoTiP2

HoTiP2 after structural relaxation (PBE-GGA, the Alexandria database).

Unit cell a=6.5180 b=6.5180 c=6.5180 alpha=33.28 beta=33.28 gamma=33.28
Last column: nearest neighbours and their distance in Å.
Fractional coordinates of all 4 atoms:
Ho  0.0000  0.0000  0.0000  6 P 2.76
Ti  0.5000  0.5000  0.5000  6 P 2.55
P  0.2403  0.2403  0.2403  3 Ti 2.55, 3 Ho 2.76
P  0.7597  0.7597  0.7597  3 Ti 2.55, 3 Ho 2.76

ΔE to the lowest computed polymorph = 0.000 eV per formula unit
volume = 18.56 Å³ per atom
energy of formation from the pure elements = -1.31 eV/atom

2.
# Ho2TiP

Ho2TiP after structural relaxation (PBE-GGA, the Alexandria database).

Unit cell a=9.6100 b=9.6100 c=9.6100 alpha=21.72 beta=21.72 gamma=21.72
Last column: nearest neighbours and their distance in Å.
Fractional coordinates of all 4 atoms:
Ho  0.1072  0.1072  0.1072  3 P 2.68
Ho  0.8928  0.8928  0.8928  3 P 2.68
Ti  0.0000  0.0000  0.0000  2 Ho 3.02
P  0.5000  0.5000  0.5000  6 Ho 2.68

volume = 26.63 Å³ per atom
energy of formation from the pure elements = -0.17 eV/atom

3.
# Ho2TlP

Ho2TlP after structural relaxation (PBE-GGA, the Alexandria database).

Unit cell a=8.4148 b=8.4148 c=8.4148 alpha=26.50 beta=26.50 gamma=26.50
Last column: nearest neighbours and their distance in Å.
Fractional coordinates of all 4 atoms:
Ho  0.0000  0.0000  0.0000  3 P 2.75
Ho  0.2022  0.2022  0.2022  3 P 2.73
Tl  0.7676  0.7676  0.7676  6 Ho 3.32
P  0.6001  0.6001  0.6001  6 Ho 2.73-2.75

ΔE to the lowest computed polymorph = 0.178 eV per formula unit
volume = 26.15 Å³ per atom
energy of formation from the pure elements = -0.92 eV/atom

4.
# Ho2TlP

Ho2TlP after structural relaxation (PBE-GGA, the Alexandria database).

Unit cell a=3.8833 b=3.8833 c=8.2451 alpha=103.84 beta=103.84 gamma=60.24
Last column: nearest neighbours and their distance in Å.
Fractional coordinates of all 4 atoms:
Ho  0.2346  0.2346  0.2010  3 P 2.75
Ho  0.7654  0.7654  0.7990  3 P 2.75
Tl  0.0000  0.0000  0.5000  6 Ho 3.26-3.27
P  0.5000  0.5000  0.0000  6 Ho 2.75

ΔE to the lowest computed polymorph = 0.000 eV per formula unit
volume = 25.93 Å³ per atom
energy of formation from the pure elements = -0.97 eV/atom

5.
# HoTlP

HoTlP after structural relaxation (PBE-GGA, the Alexandria database).

Unit cell a=6.4640 b=6.4640 c=6.4640 alpha=145.21 beta=145.21 gamma=50.02
Last column: nearest neighbours and their distance in Å.
Fractional coordinates of all 3 atoms:
Ho  0.0000  0.0000  0.0000  4 P 2.73
Tl  0.2673  0.2673  0.0000  1 P 2.74
P  0.5012  0.5012  0.0000  4 Ho 2.73, 1 Tl 2.74

volume = 29.17 Å³ per atom
energy of formation from the pure elements = -0.62 eV/atom

6.
# HoTm4P5

HoTm4P5 after structural relaxation (PBE-GGA, the Alexandria database).

Unit cell a=6.8535 b=6.8535 c=6.8535 alpha=99.59 beta=99.59 gamma=131.81
Last column: nearest neighbours and their distance in Å.
Fractional coordinates of all 10 atoms:
Ho  0.0000  0.0000  0.0000  6 P 2.80-2.81
Tm  0.1999  0.3996  0.5995  6 P 2.79-2.80
Tm  0.3996  0.8001  0.1996  6 P 2.79-2.80
Tm  0.6004  0.1999  0.8004  6 P 2.79-2.80
Tm  0.8001  0.6004  0.4005  6 P 2.79-2.80
P  0.1004  0.6988  0.7992  5 Tm 2.79-2.80, 1 Ho 2.81
P  0.3012  0.1004  0.4016  5 Tm 2.79-2.80, 1 Ho 2.81
P  0.5000  0.5000  0.0000  2 Ho 2.80, 4 Tm 2.80
P  0.6988  0.8996  0.5984  5 Tm 2.79-2.80, 1 Ho 2.81
P  0.8996  0.3012  0.2008  5 Tm 2.79-2.80, 1 Ho 2.81

volume = 21.90 Å³ per atom
energy of formation from the pure elements = -1.61 eV/atom

7.
# HoTm3P4

HoTm3P4 after structural relaxation (PBE-GGA, the Alexandria database).

Unit cell a=6.8543 b=6.8543 c=3.9589 alpha=90.00 beta=90.00 gamma=109.46
Last column: nearest neighbours and their distance in Å.
Fractional coordinates of all 8 atoms:
Ho  0.0000  0.0000  0.0000  6 P 2.81
Tm  0.0000  0.5000  0.5000  6 P 2.80
Tm  0.5000  0.0000  0.5000  6 P 2.80
Tm  0.5000  0.5000  0.0000  6 P 2.79
P  0.2508  0.7492  0.0000  5 Tm 2.79-2.80, 1 Ho 2.81
P  0.2517  0.2517  0.5000  4 Tm 2.79-2.80, 2 Ho 2.81
P  0.7483  0.7483  0.5000  4 Tm 2.79-2.80, 2 Ho 2.81
P  0.7492  0.2508  0.0000  5 Tm 2.79-2.80, 1 Ho 2.81

volume = 21.92 Å³ per atom
energy of formation from the pure elements = -1.61 eV/atom

8.
# HoTm5P6

HoTm5P6 after structural relaxation (PBE-GGA, the Alexandria database).

Unit cell a=6.8504 b=6.8504 c=6.8502 alpha=99.60 beta=99.60 gamma=119.98
Last column: nearest neighbours and their distance in Å.
Fractional coordinates of all 12 atoms:
Ho  0.0000  0.0000  0.0000  6 P 2.81
Tm  0.1664  0.8336  0.5000  6 P 2.79-2.80
Tm  0.3332  0.6668  0.0000  6 P 2.80
Tm  0.5000  0.5000  0.5000  6 P 2.79-2.80
Tm  0.6668  0.3332  0.0000  6 P 2.80
Tm  0.8336  0.1664  0.5000  6 P 2.79-2.80
P  0.0836  0.4183  0.2509  5 Tm 2.79-2.80, 1 Ho 2.81
P  0.2511  0.2511  0.7493  5 Tm 2.79-2.80, 1 Ho 2.81
P  0.4183  0.0836  0.2509  5 Tm 2.79-2.80, 1 Ho 2.81
P  0.5817  0.9164  0.7491  5 Tm 2.79-2.80, 1 Ho 2.81
P  0.7489  0.7489  0.2507  5 Tm 2.79-2.80, 1 Ho 2.81
P  0.9164  0.5817  0.7491  5 Tm 2.79-2.80, 1 Ho 2.81

volume = 21.88 Å³ per atom
energy of formation from the pure elements = -1.61 eV/atom